No. 1
# NdSmCo4, optimized geometry, DFT PBE-GGA
# Excess energy over the best structure of this formula in the dataset   0 meV per atom
data_NdSmCo4
_symmetry_space_group_name_H-M 'I m m m'
_symmetry_Int_Tables_number 71
_symmetry_space_group_name_Hall '-I 2 2'
_cell_length_a 3.8886
_cell_length_b 6.7445
_cell_length_c 8.3522
_cell_angle_alpha 90.00
_cell_angle_beta 90.00
_cell_angle_gamma 90.00
loop_
_atom_site_label
_atom_site_type_symbol
_atom_site_fract_x
_atom_site_fract_y
_atom_site_fract_z
_atom_site_occupancy
Nd1 Nd 0.0000 0.0000 0.0000 1
Sm1 Sm 0.0000 0.0000 0.5000 1
Co1 Co 0.0000 0.3333 0.2488 1

No. 2
Density functional theory data (PBE-GGA) for Nd4DyY2Sc after structural relaxation.

The structure in CIF format:
```
data_Nd4DyY2Sc
_symmetry_space_group_name_H-M 'P 4/m m m'
_symmetry_Int_Tables_number 123
_symmetry_space_group_name_Hall '-P 4 2'
_cell_length_a 5.1121
_cell_length_b 5.1121
_cell_length_c 9.9482
_cell_angle_alpha 90.00
_cell_angle_beta 90.00
_cell_angle_gamma 90.00
loop_
_atom_site_label
_atom_site_type_symbol
_atom_site_fract_x
_atom_site_fract_y
_atom_site_fract_z
_atom_site_occupancy
Nd1 Nd 0.0000 0.5000 0.2450 1
Dy1 Dy 0.0000 0.0000 0.5000 1
Y1 Y 0.0000 0.0000 0.0000 1
Y2 Y 0.5000 0.5000 0.5000 1
Sc1 Sc 0.5000 0.5000 0.0000 1
```

No. 3
Density functional theory data (PBE-GGA) for LiMgGeMo2 after structural relaxation.

The structure in CIF format:
```
data_LiMgGeMo2
_symmetry_space_group_name_H-M 'P 4/m m m'
_symmetry_Int_Tables_number 123
_symmetry_space_group_name_Hall '-P 4 2'
_cell_length_a 4.3341
_cell_length_b 4.3341
_cell_length_c 4.2715
_cell_angle_alpha 90.00
_cell_angle_beta 90.00
_cell_angle_gamma 90.00
loop_
_atom_site_label
_atom_site_type_symbol
_atom_site_fract_x
_atom_site_fract_y
_atom_site_fract_z
_atom_site_occupancy
Li1 Li 0.0000 0.0000 0.0000 1
Mg1 Mg 0.0000 0.0000 0.5000 1
Ge1 Ge 0.5000 0.5000 0.5000 1
Mo1 Mo 0.0000 0.5000 0.0000 1
```

Calculated values (eV/cell) of total DFT energy (no corrections) for the records, taken in order: -76.95; -42.71; -24.11.
Calculated values (eV per atom) of energy of formation for the records, taken in order: -0.09; 0.03; 1.14.